[1]
## Li8CdGa5 (PBE)

Data for a relaxed Li8CdGa5 crystal.

Results
For the formation energy, the calculation gives -158 meV/atom. As for the total energy: -0.17628 Ry per atom. Its total magnetization is 0.00 μB/cell.

Cell lengths 6.8393, 6.8393, 6.8393 Å; angles 112.16, 104.22, 112.16 degrees
Sites, in units of the cell vectors:
Li 0.7337 0.2555 0.3338
Li 0.1423 0.7172 0.0814
Li 0.5218 0.6001 0.2663
Li 0.0784 0.7445 0.4782
Li 0.9186 0.0610 0.6358
Li 0.6662 0.3999 0.9216
Li 0.3642 0.2828 0.4251
Li 0.5749 0.9390 0.8577
Ga 0.8103 0.6954 0.7304
Ga 0.2696 0.0799 0.9650
Ga 0.0350 0.3046 0.1149
Ga 0.5000 0.0000 0.5000
Ga 0.8851 0.9201 0.1897
Cd 0.2500 0.5000 0.7500

---

[2]
## Sr6H12Ir (PBE)

Data for a relaxed Sr6H12Ir crystal.

Results
As for the total energy: -0.25790 Ry per atom. Its total magnetization is 2.22 μB/cell.

Cell lengths 6.7827, 6.7827, 6.7827 Å; angles 97.88, 97.88, 97.88 degrees
Site moments in Bohr magnetons follow the coordinates.
Sites, in units of the cell vectors:
H 0.8324 0.5309 0.3900  0.00
H 0.5309 0.3900 0.8324  0.00
H 0.0176 0.7469 0.9533  0.00
H 0.2531 0.0467 0.9824  0.00
H 0.0467 0.9824 0.2531  0.00
H 0.6100 0.1676 0.4691  0.00
H 0.7469 0.9533 0.0176  0.00
H 0.1676 0.4691 0.6100  0.00
H 0.3900 0.8324 0.5309  0.00
H 0.9824 0.2531 0.0467  0.00
H 0.4691 0.6100 0.1676  0.00
H 0.9533 0.0176 0.7469  0.00
Sr 0.7143 0.8467 0.4056  0.08
Sr 0.4056 0.7143 0.8467  0.08
Sr 0.1533 0.5944 0.2857  0.08
Sr 0.8467 0.4056 0.7143  0.08
Sr 0.5944 0.2857 0.1533  0.08
Sr 0.2857 0.1533 0.5944  0.08
Ir 0.0000 0.0000 0.0000  0.17

---

[3]
## SrLi2HoSn2 (PBE)

Data for a relaxed SrLi2HoSn2 crystal.

Results
For the formation energy, the calculation gives -596 meV/atom. As for the total energy: -0.26547 Ry per atom. Its total magnetization is 0.00 μB/cell.

Cell lengths 4.8165, 4.8165, 7.8018 Å; angles 90.00, 90.00, 120.00 degrees
Sites, in units of the cell vectors:
Sn 0.3333 0.6667 0.2891
Sn 0.6667 0.3333 0.7109
Li 0.6667 0.3333 0.3054
Li 0.3333 0.6667 0.6946
Ho 0.0000 0.0000 0.5000
Sr 0.0000 0.0000 0.0000